Record 1
8
Lattice="5.153 0.000 0.000 0.000 5.153 0.000 2.577 2.577 3.944" Properties=species:S:1:pos:R:3 comment="PBE Zn2BN, optimized geometry" space_group=I-42d raw_formation_energy_ev_per_atom=0.876 dos_at_fermi_per_ev_atom=0.13 pbc="T T T"
Zn 4.066 1.288 0.986
Zn 1.088 3.865 0.986
Zn 3.865 3.664 2.958
Zn 6.442 6.642 2.958
B 2.577 2.577 0.000
B 2.577 5.153 1.972
N 0.000 0.000 0.000
N 5.153 2.577 1.972

***

Record 2
8
Lattice="4.497 0.000 0.000 0.000 4.497 0.000 2.248 2.248 3.606" Properties=species:S:1:pos:R:3 comment="PBE ZnB2N, optimized geometry" space_group=I-42d raw_formation_energy_ev_per_atom=0.414 dos_at_fermi_per_ev_atom=0.72 de_polymorph_mev_per_atom=0 pbc="T T T"
Zn 0.000 0.000 0.000
Zn 4.497 2.248 1.803
B 2.924 1.124 0.902
B 1.573 3.373 0.902
B 3.373 3.821 2.705
B 5.621 5.172 2.705
N 2.248 2.248 0.000
N 2.248 4.497 1.803

***

Record 3
14
Lattice="4.677 0.000 0.000 0.000 4.677 0.000 0.000 0.000 4.677" Properties=species:S:1:pos:R:3 comment="PBE ZnB3N3, optimized geometry" space_group=Pm-3n raw_formation_energy_ev_per_atom=-0.014 dos_at_fermi_per_ev_atom=0.09 pbc="T T T"
Zn 2.339 2.339 2.339
Zn 0.000 0.000 0.000
B 1.169 0.000 2.339
B 0.000 2.339 1.169
B 2.339 3.508 0.000
B 3.508 0.000 2.339
B 0.000 2.339 3.508
B 2.339 1.169 0.000
N 0.000 1.169 2.339
N 0.000 3.508 2.339
N 2.339 0.000 3.508
N 3.508 2.339 0.000
N 2.339 0.000 1.169
N 1.169 2.339 0.000

***

Record 4
4
Lattice="0.163 -3.790 0.035 -3.201 -2.035 0.059 -1.050 -1.972 -3.066" Properties=species:S:1:pos:R:3 comment="PBE ZnB2N, optimized geometry" space_group=Fm-3m raw_formation_energy_ev_per_atom=2.294 dos_at_fermi_per_ev_atom=0.65 de_polymorph_mev_per_atom=1879 pbc="T T T"
Zn -2.044 -3.898 -1.486
B -1.022 -1.949 -0.743
B -3.066 -5.848 -2.229
N 0.000 0.000 0.000

***

Record 5
5
Lattice="3.897 0.000 0.000 0.000 3.897 0.000 0.000 0.000 3.897" Properties=species:S:1:pos:R:3 comment="PBE ZnBN3, optimized geometry" space_group=Pm-3m raw_formation_energy_ev_per_atom=2.988 dos_at_fermi_per_ev_atom=0.42 pbc="T T T"
Zn 0.000 0.000 0.000
B 1.949 1.949 1.949
N 0.000 1.949 0.000
N 0.000 0.000 1.949
N 1.949 0.000 0.000

***

Record 6
5
Lattice="3.392 0.000 0.000 0.000 3.392 0.000 0.000 0.000 3.392" Properties=species:S:1:pos:R:3 comment="PBE ZnBN3, optimized geometry" space_group=Pm-3m raw_formation_energy_ev_per_atom=1.562 dos_at_fermi_per_ev_atom=0.74 pbc="T T T"
Zn 1.696 1.696 1.696
B 0.000 0.000 0.000
N 0.000 1.696 0.000
N 0.000 0.000 1.696
N 1.696 0.000 0.000

***

Record 7
4
Lattice="5.881 0.007 0.004 4.925 3.214 0.004 4.925 1.468 2.860" Properties=species:S:1:pos:R:3 comment="PBE Zr2BN, optimized geometry" space_group=R-3m raw_formation_energy_ev_per_atom=-1.106 dos_at_fermi_per_ev_atom=0.37 de_polymorph_mev_per_atom=116 pbc="T T T"
B 7.865 2.344 1.434
Zr 3.973 1.184 0.724
Zr 11.757 3.505 2.143
N 0.000 0.000 0.000

***

Record 8
8
Lattice="-2.392 0.601 2.048 -1.891 -2.374 -1.511 4.445 -5.438 6.787" Properties=species:S:1:pos:R:3 comment="PBE Zr2BN, optimized geometry" space_group=Cmcm raw_formation_energy_ev_per_atom=-1.222 dos_at_fermi_per_ev_atom=0.30 de_polymorph_mev_per_atom=0 pbc="T T T"
Zr -1.380 -3.308 3.122
Zr 1.544 -3.903 4.202
Zr 0.253 -6.401 5.937
Zr -0.090 -0.811 1.387
B 2.749 -6.184 6.279
B -2.585 -1.027 1.045
N 0.730 -2.364 2.801
N -0.567 -4.847 4.523